[1]
# Ac2AsHO, relaxed, DFT PBE-GGA
data_Ac2AsHO
_cell_length_a 4.053
_cell_length_b 4.053
_cell_length_c 13.285
_cell_angle_alpha 90.00
_cell_angle_beta 90.00
_cell_angle_gamma 90.00
_symmetry_space_group_name_H-M 'I -4 m 2'
_symmetry_Int_Tables_number 119
_symmetry_space_group_name_Hall 'I -4 -2'
loop_
_atom_site_label
_atom_site_fract_x
_atom_site_fract_y
_atom_site_fract_z
Ac1 0.000 0.000 0.139
As1 0.000 0.000 0.500
H1 0.000 0.500 0.250
O1 0.000 0.500 0.750
# DOS(E_F) (states/eV/cell): 1.8
# Total DFT energy (no corrections) (eV for the cell shown): -60.720

[2]
# NaCaLaSi, relaxed, DFT PBE-GGA
data_NaCaLaSi
_cell_length_a 7.530
_cell_length_b 7.530
_cell_length_c 7.530
_cell_angle_alpha 90.00
_cell_angle_beta 90.00
_cell_angle_gamma 90.00
_symmetry_space_group_name_H-M 'F -4 3 m'
_symmetry_Int_Tables_number 216
_symmetry_space_group_name_Hall 'F -4 2 3'
loop_
_atom_site_label
_atom_site_fract_x
_atom_site_fract_y
_atom_site_fract_z
Na1 0.000 0.000 0.000
Ca1 0.250 0.250 0.250
La1 0.250 0.250 0.750
Si1 0.000 0.000 0.500
# ΔE_f (raw) (eV/atom): -0.18
# DOS(E_F) (states/eV/cell): 10.4
# Total DFT energy (no corrections) (eV for the cell shown): -57.545

[3]
# Ac2La4Sc, relaxed, DFT PBE-GGA
data_Ac2La4Sc
_cell_length_a 7.329
_cell_length_b 8.341
_cell_length_c 8.963
_cell_angle_alpha 87.27
_cell_angle_beta 88.57
_cell_angle_gamma 77.54
_symmetry_space_group_name_H-M 'P 1'
_symmetry_Int_Tables_number 1
_symmetry_space_group_name_Hall 'P 1'
loop_
_atom_site_label
_atom_site_fract_x
_atom_site_fract_y
_atom_site_fract_z
Ac1 0.000 0.000 0.000
Ac2 0.000 0.002 0.500
Ac3 0.500 0.001 0.998
Ac4 0.999 0.501 0.499
La1 0.164 0.381 0.885
La2 0.321 0.715 0.737
La3 0.328 0.618 0.156
La4 0.448 0.168 0.593
La5 0.552 0.835 0.404
La6 0.672 0.383 0.842
La7 0.679 0.286 0.261
La8 0.836 0.620 0.112
Sc1 0.199 0.238 0.241
Sc2 0.801 0.763 0.757
# DFT formation energy (eV per atom): 0.157
# DOS(E_F) (states/eV/cell): 23.6
# Total DFT energy (no corrections) (eV for the cell shown): -66.324